Record 1
# Ca3Tl5

Ca3Tl5 at its PBEsol-relaxed geometry (SCAN, Alexandria via LeMat-Bulk).

The density of states at the Fermi level is 0.357 states/eV/atom. The value obtained for the uncorrected energy is -49.34 eV per atom. Its space group is Cmcm, No. 63.

```
Ca3Tl5
1.0
-0.732 -0.496 6.466
-2.083 -5.802 -2.140
9.786 -3.814 0.816
Tl Ca
10 6
Direct
0.792 0.792 0.969
0.980 0.546 0.750
0.208 0.208 0.031
0.208 0.208 0.469
0.524 0.524 0.250
0.792 0.792 0.531
0.454 0.020 0.250
0.020 0.454 0.250
0.476 0.476 0.750
0.546 0.980 0.750
0.076 0.076 0.750
0.717 0.283 0.000
0.924 0.924 0.250
0.717 0.283 0.500
0.283 0.717 0.500
0.283 0.717 0.000
```

---

Record 2
# CuPSeS2

CuPSeS2 at its PBEsol-relaxed geometry (SCAN, Alexandria via LeMat-Bulk).

The density of states at the Fermi level is 0.769 states/eV/atom. The value obtained for the uncorrected energy is -12.13 eV per atom. Its energy relative to the elements, uncorrected is 4.295 eV per formula unit. Its space group is P4/mmm, No. 123.

```
CuPSeS2
1.0
-3.128 0.612 -3.018
-0.521 -4.345 -0.340
-3.129 0.119 3.267
S Se P Cu
2 1 1 1
Direct
0.500 0.000 0.000
0.000 0.500 0.000
0.500 0.500 0.500
0.000 0.000 0.500
0.000 0.000 0.000
```

---

Record 3
# ReBSe2N

ReBSe2N at its PBEsol-relaxed geometry (SCAN, Alexandria via LeMat-Bulk).

The density of states at the Fermi level is 0.486 states/eV/atom. The value obtained for the uncorrected energy is -24.44 eV per atom. Its energy relative to the elements, uncorrected is 5.781 eV per formula unit. Its space group is P4/mmm, No. 123.

```
ReBSe2N
1.0
3.690 0.000 0.000
0.000 4.936 0.000
0.000 0.000 4.936
Se N Re B
2 1 1 1
Direct
0.000 0.000 0.500
0.000 0.500 0.000
0.500 0.000 0.000
0.000 0.000 0.000
0.500 0.500 0.500
```

---

Record 4
# ScRe2

ScRe2 at its PBEsol-relaxed geometry (SCAN, Alexandria via LeMat-Bulk).

The density of states at the Fermi level is 0.759 states/eV/atom. The value obtained for the uncorrected energy is -51.96 eV per atom. Its space group is P6/mmm, No. 191.

```
ScRe2
1.0
2.629 0.000 0.000
0.000 4.616 0.000
0.000 -2.308 3.997
Sc Re
1 2
Direct
0.000 0.000 0.000
0.500 0.667 0.333
0.500 0.333 0.667
```

---

Record 5
# SrTlI2N

SrTlI2N at its PBEsol-relaxed geometry (SCAN, Alexandria via LeMat-Bulk).

The density of states at the Fermi level is 0.655 states/eV/atom. The value obtained for the uncorrected energy is -35.47 eV per atom. Its energy relative to the elements, uncorrected is 0.055 eV per formula unit. Its space group is P4/mmm, No. 123.

```
SrTlI2N
1.0
-0.143 -0.901 -3.987
-3.235 -5.101 1.268
-5.252 3.198 -0.534
Tl I N Sr
1 2 1 1
Direct
0.000 0.000 0.000
0.000 0.500 0.000
0.000 0.000 0.500
0.500 0.000 0.000
0.500 0.500 0.500
```

---

Record 6
# LaMn3F

LaMn3F at its PBEsol-relaxed geometry (SCAN, Alexandria via LeMat-Bulk).

The density of states at the Fermi level is 0.467 states/eV/atom. The value obtained for the uncorrected energy is -20.55 eV per atom. Its energy relative to the elements, uncorrected is -1.316 eV per formula unit. Its space group is Pm-3m, No. 221.

```
LaMn3F
1.0
-4.014 1.213 1.312
1.172 -0.649 4.184
1.349 4.172 0.270
Mn F La
3 1 1
Direct
0.000 0.000 0.500
0.000 0.500 0.000
0.500 0.000 0.000
0.000 0.000 0.000
0.500 0.500 0.500
```

---

Record 7
# HfSi3Ru

HfSi3Ru at its PBEsol-relaxed geometry (SCAN, Alexandria via LeMat-Bulk).

The density of states at the Fermi level is 0.441 states/eV/atom. The value obtained for the uncorrected energy is -24.01 eV per atom. Its energy relative to the elements, uncorrected is 7.475 eV per formula unit. Its space group is Pm-3m, No. 221.

```
HfSi3Ru
1.0
-3.398 2.220 -2.619
0.445 -3.370 -3.433
-3.404 -2.656 2.166
Ru Si Hf
1 3 1
Direct
0.500 0.500 0.500
0.000 0.000 0.500
0.000 0.500 0.000
0.500 0.000 0.000
0.000 0.000 0.000
```

---

Record 8
# Cs2SrAs

Cs2SrAs at its PBEsol-relaxed geometry (SCAN, Alexandria via LeMat-Bulk).

The density of states at the Fermi level is 0.456 states/eV/atom. The value obtained for the uncorrected energy is -29.86 eV per atom. Its space group is I-42d, No. 122.

```
Cs2SrAs
1.0
-0.176 -0.407 5.926
-8.984 -3.155 2.496
2.887 -9.088 2.441
As Cs Sr
2 4 2
Direct
0.500 0.000 0.000
0.250 0.500 0.500
0.276 0.849 0.349
0.375 0.349 0.151
0.875 0.651 0.849
0.474 0.151 0.651
0.000 0.000 0.000
0.750 0.500 0.500
```

---

Record 9
# Mg2Zn

Mg2Zn at its PBEsol-relaxed geometry (SCAN, Alexandria via LeMat-Bulk).

The density of states at the Fermi level is 0.288 states/eV/atom. The value obtained for the uncorrected energy is -7.83 eV per atom. Its space group is Pm, No. 6.

```
Mg2Zn
1.0
3.082 0.000 0.009
0.000 4.763 0.000
-1.519 0.000 7.801
Zn Mg
2 4
Direct
0.775 0.500 0.546
0.115 0.500 0.234
0.448 0.500 0.890
0.327 0.000 0.658
0.664 0.000 0.331
0.005 0.000 0.008
```

---

Record 10
# Sr2MoAu

Sr2MoAu at its PBEsol-relaxed geometry (SCAN, Alexandria via LeMat-Bulk).

The density of states at the Fermi level is 0.806 states/eV/atom. The value obtained for the uncorrected energy is -36.68 eV per atom. The calculation puts the excess energy over the best structure of this formula in the dataset at 351 meV per atom. Its space group is I-4m2, No. 119.

```
Sr2MoAu
1.0
4.525 0.000 0.000
0.000 4.525 0.000
-2.263 -2.263 5.094
Sr Mo Au
2 1 1
Direct
0.750 0.250 0.500
0.000 0.000 0.000
0.250 0.750 0.500
0.500 0.500 0.000
```

---

Record 11
# ScBe2H

ScBe2H at its PBEsol-relaxed geometry (SCAN, Alexandria via LeMat-Bulk).

The density of states at the Fermi level is 0.538 states/eV/atom. The value obtained for the uncorrected energy is -6.42 eV per atom. Its space group is Fd-3m, No. 227.

```
ScBe2H
1.0
4.905 0.000 0.000
2.452 4.247 0.000
2.452 1.416 4.005
Be Sc H
4 2 2
Direct
0.625 0.125 0.125
0.125 0.125 0.625
0.125 0.125 0.125
0.125 0.625 0.125
0.750 0.750 0.750
0.500 0.500 0.500
0.250 0.250 0.250
0.000 0.000 0.000
```

---

Record 12
# CrFeSb

CrFeSb at its PBEsol-relaxed geometry (SCAN, Alexandria via LeMat-Bulk).

The density of states at the Fermi level is 0.649 states/eV/atom. The value obtained for the uncorrected energy is -24.15 eV per atom. Its energy relative to the elements, uncorrected is 1.319 eV per formula unit. Its space group is I4mm, No. 107.

```
CrFeSb
1.0
-2.048 0.444 -2.070
-1.911 -1.629 1.541
0.409 4.746 2.708
Fe Cr Sb
1 1 1
Direct
0.648 0.648 0.295
0.024 0.024 0.048
0.329 0.329 0.657
```